1.
A plane-wave DFT calculation with PBE was carried out for an optimized crystal structure of SrCeInHg.

E_form = -1.4 eV/f.u.
space-group type = F-43m

abc: 7.902 7.902 7.902
angles: 90.00 90.00 90.00
Element x y z (fractional)
Sr 0.000 0.000 0.000
Sr 0.000 0.500 0.500
Sr 0.500 0.000 0.500
Sr 0.500 0.500 0.000
Ce 0.000 0.000 0.500
Ce 0.000 0.500 0.000
Ce 0.500 0.000 0.000
Ce 0.500 0.500 0.500
In 0.250 0.250 0.750
In 0.250 0.750 0.250
In 0.750 0.250 0.250
In 0.750 0.750 0.750
Hg 0.250 0.250 0.250
Hg 0.250 0.750 0.750
Hg 0.750 0.250 0.750
Hg 0.750 0.750 0.250



2.
A plane-wave DFT calculation with PBE was carried out for an optimized crystal structure of GaCoSn.

E_form = -0.3 eV/f.u.
space-group type = Amm2

abc: 4.254 6.046 8.193
angles: 90.00 90.00 90.00
Element x y z (fractional)
Ga 0.000 0.245 0.000
Ga 0.000 0.255 0.500
Ga 0.000 0.745 0.500
Ga 0.000 0.755 0.000
Co 0.000 0.000 0.253
Co 0.000 0.500 0.753
Co 0.500 0.000 0.021
Co 0.500 0.500 0.521
Sn 0.500 0.241 0.764
Sn 0.500 0.259 0.264
Sn 0.500 0.741 0.264
Sn 0.500 0.759 0.764



3.
A plane-wave DFT calculation with PBE was carried out for an optimized crystal structure of Mg5TiAu6.

E_form = -6.7 eV/f.u.
space-group type = Immm

abc: 8.081 8.081 8.081
angles: 146.58 131.62 60.08
Element x y z (fractional)
Mg 0.000 0.000 0.000
Mg 0.166 0.666 0.500
Mg 0.329 0.329 0.000
Mg 0.671 0.671 0.000
Mg 0.834 0.334 0.500
Ti 0.500 0.000 0.500
Au 0.091 0.839 0.253
Au 0.267 0.500 0.767
Au 0.414 0.161 0.253
Au 0.586 0.839 0.747
Au 0.733 0.500 0.233
Au 0.909 0.161 0.747



4.
A plane-wave DFT calculation with PBE was carried out for an optimized crystal structure of LaTa2Zn.

E_form = 1.5 eV/f.u.
space-group type = Cm

abc: 9.476 3.009 6.206
angles: 90.00 96.15 90.00
Element x y z (fractional)
La 0.000 0.000 0.000
La 0.500 0.500 0.000
Ta 0.220 0.000 0.674
Ta 0.480 0.000 0.496
Ta 0.720 0.500 0.674
Ta 0.980 0.500 0.496
Zn 0.248 0.500 0.297
Zn 0.748 0.000 0.297



Total DFT energy (no corrections)
In order: -48.360; -57.600; -42.199; -56.809
Unit: eV per cell